! PmSm3Ge2C (GGA-PBE, relaxed); values from VASP
! **Density of states at the Fermi level**: 1.2 states/eV/f.u.
! **SG**: No. 71
! **Energy relative to the elements**: -0.52 eV per atom
&SYSTEM
  ibrav = 0, nat = 7, ntyp = 4
/
ATOMIC_SPECIES
Pm 145.00 Pm.upf
Sm 150.36 Sm.upf
Ge 72.64 Ge.upf
C 12.01 C.upf
ATOMIC_POSITIONS crystal
Pm 0.0000 0.0000 0.0000
Sm 0.3302 0.8302 0.5000
Sm 0.5000 0.5000 0.0000
Sm 0.6698 0.1698 0.5000
Ge 0.1362 0.6362 0.5000
Ge 0.8638 0.3638 0.5000
C 0.5000 0.0000 0.5000
CELL_PARAMETERS angstrom
-2.4182 2.4268 7.7950
2.4182 -2.4268 7.7950
2.4182 2.4268 -7.7950